## Ca2GeBr (PBE)

Data for a relaxed structure of Ca2GeBr.

Calculated values
Energy relative to the lowest polymorph listed for this composition (eV/f.u.): 1.07
Magnetic moment (μB per atom): 0.25
Energy relative to the elements, uncorrected (eV per atom): -0.7786

Lattice parameters (Å, degrees): 5.3103 5.3103 5.3103 60.00 60.00 60.00
Last column: magnetic moment on the atom in μB.
Fractional positions:
1 Ge 0.0000 0.0000 0.0000  0.27
2 Ca 0.2500 0.2500 0.2500  0.04
3 Ca 0.7500 0.7500 0.7500  0.04
4 Br 0.5000 0.5000 0.5000  0.11

=====

## CaGeBr5 (PBE)

Data for a relaxed structure of CaGeBr5.

Calculated values
Magnetic moment (μB per atom): 0.00
Energy relative to the elements, uncorrected (eV per atom): -1.0636

Lattice parameters (Å, degrees): 7.2611 7.2611 11.2946 66.13 66.13 94.59
Fractional positions:
1 Ca 0.7059 0.2941 0.2500
2 Ca 0.2941 0.7059 0.7500
3 Ge 0.0000 0.0000 0.0000
4 Ge 0.0000 0.0000 0.5000
5 Br 0.6423 0.7258 0.1564
6 Br 0.3276 0.8307 0.4613
7 Br 0.7258 0.6423 0.6564
8 Br 0.9831 0.0169 0.2500
9 Br 0.1693 0.6724 0.0387
10 Br 0.8307 0.3276 0.9613
11 Br 0.0169 0.9831 0.7500
12 Br 0.2742 0.3577 0.3436
13 Br 0.6724 0.1693 0.5387
14 Br 0.3577 0.2742 0.8436

=====

## Ca2Ge2Br (PBE)

Data for a relaxed structure of Ca2Ge2Br.

Calculated values
Energy relative to the lowest polymorph listed for this composition (eV/f.u.): 0.00
Magnetic moment (μB per atom): 0.00
Energy relative to the elements, uncorrected (eV per atom): -0.8341

Lattice parameters (Å, degrees): 8.0764 8.0764 4.2706 90.00 90.00 90.00
Fractional positions:
1 Ge 0.1023 0.6023 0.5000
2 Ge 0.6023 0.8977 0.5000
3 Ge 0.8977 0.3977 0.5000
4 Ge 0.3977 0.1023 0.5000
5 Ca 0.3161 0.8161 0.0000
6 Ca 0.8161 0.6839 0.0000
7 Ca 0.6839 0.1839 0.0000
8 Ca 0.1839 0.3161 0.0000
9 Br 0.0000 0.0000 0.0000
10 Br 0.5000 0.5000 0.0000

=====

## KCaGeBr5 (PBE)

Data for a relaxed structure of KCaGeBr5.

Calculated values
Magnetic moment (μB per atom): 0.00
Energy relative to the elements, uncorrected (eV per atom): -1.3894

Lattice parameters (Å, degrees): 7.7740 7.7740 11.4662 110.18 110.18 95.97
Fractional positions:
1 K 0.3259 0.6741 0.2500
2 K 0.6741 0.3259 0.7500
3 Ca 0.0000 0.0000 0.5000
4 Ca 0.0000 0.0000 0.0000
5 Ge 0.7342 0.2658 0.2500
6 Ge 0.2658 0.7342 0.7500
7 Br 0.0337 0.9663 0.2500
8 Br 0.9663 0.0337 0.7500
9 Br 0.8875 0.3511 0.0797
10 Br 0.1125 0.6489 0.9203
11 Br 0.6489 0.1125 0.4203
12 Br 0.3511 0.8875 0.5797
13 Br 0.7681 0.6088 0.4092
14 Br 0.2319 0.3912 0.5908
15 Br 0.3912 0.2319 0.0908
16 Br 0.6088 0.7681 0.9092

=====

## Li2CaGeBr6 (PBE)

Data for a relaxed structure of Li2CaGeBr6.

Calculated values
Magnetic moment (μB per atom): 0.00
Energy relative to the elements, uncorrected (eV per atom): -1.3760

Lattice parameters (Å, degrees): 7.3522 9.1413 9.1413 87.01 83.03 83.03
Fractional positions:
1 Li 0.1842 0.7641 0.5873
2 Li 0.3158 0.4127 0.2359
3 Li 0.8158 0.2359 0.4127
4 Li 0.6842 0.5873 0.7641
5 Ca 0.2500 0.9073 0.0927
6 Ca 0.7500 0.0927 0.9073
7 Ge 0.2500 0.2767 0.7233
8 Ge 0.7500 0.7233 0.2767
9 Br 0.1193 0.9597 0.7966
10 Br 0.3807 0.2034 0.0403
11 Br 0.8807 0.0403 0.2034
12 Br 0.6193 0.7966 0.9597
13 Br 0.3921 0.8652 0.3736
14 Br 0.1079 0.6264 0.1348
15 Br 0.6079 0.1348 0.6264
16 Br 0.8921 0.3736 0.8652
17 Br 0.8615 0.7102 0.5427
18 Br 0.6385 0.4573 0.2898
19 Br 0.1385 0.2898 0.4573
20 Br 0.3615 0.5427 0.7102

=====

## NaCaGeBr5 (PBE)

Data for a relaxed structure of NaCaGeBr5.

Calculated values
Magnetic moment (μB per atom): 0.00
Energy relative to the elements, uncorrected (eV per atom): -1.3050

Lattice parameters (Å, degrees): 7.5994 7.5994 11.3634 111.23 111.23 95.53
Fractional positions:
1 Na 0.3168 0.6832 0.2500
2 Na 0.6832 0.3168 0.7500
3 Ca 0.0000 0.0000 0.5000
4 Ca 0.0000 0.0000 0.0000
5 Ge 0.7340 0.2660 0.2500
6 Ge 0.2660 0.7340 0.7500
7 Br 0.0518 0.9482 0.2500
8 Br 0.9482 0.0518 0.7500
9 Br 0.9034 0.3703 0.0922
10 Br 0.0966 0.6297 0.9078
11 Br 0.6297 0.0966 0.4078
12 Br 0.3703 0.9034 0.5922
13 Br 0.7557 0.6092 0.4186
14 Br 0.2443 0.3908 0.5814
15 Br 0.3908 0.2443 0.0814
16 Br 0.6092 0.7557 0.9186

=====

## Rb3CaGe2Br9 (PBE)

Data for a relaxed structure of Rb3CaGe2Br9.

Calculated values
Magnetic moment (μB per atom): 0.00
Energy relative to the elements, uncorrected (eV per atom): -1.3304

Lattice parameters (Å, degrees): 7.9685 7.9685 9.7587 90.00 90.00 120.00
Fractional positions:
1 Rb 0.3333 0.6667 0.6685
2 Rb 0.0000 0.0000 0.0000
3 Rb 0.6667 0.3333 0.3315
4 Ca 0.0000 0.0000 0.5000
5 Ge 0.3333 0.6667 0.1611
6 Ge 0.6667 0.3333 0.8389
7 Br 0.8306 0.1694 0.6702
8 Br 0.8306 0.6613 0.6702
9 Br 0.3387 0.1694 0.6702
10 Br 0.6613 0.8306 0.3298
11 Br 0.1694 0.3387 0.3298
12 Br 0.1694 0.8306 0.3298
13 Br 0.5000 0.0000 0.0000
14 Br 0.0000 0.5000 0.0000
15 Br 0.5000 0.5000 0.0000

=====

## CaGeRh2Br (PBE)

Data for a relaxed structure of CaGeRh2Br.

Calculated values
Magnetic moment (μB per atom): 0.24
Energy relative to the elements, uncorrected (eV per atom): 1.2369

Lattice parameters (Å, degrees): 4.9174 5.5163 4.9174 90.00 90.00 90.00
Last column: magnetic moment on the atom in μB.
Fractional positions:
1 Ge 0.0000 0.5000 0.0000  -0.05
2 Rh 0.0000 0.0000 0.5000  0.68
3 Rh 0.5000 0.0000 0.0000  0.59
4 Ca 0.0000 0.0000 0.0000  -0.04
5 Br 0.5000 0.5000 0.5000  0.04

=====

## CaGeSeBr2 (PBE)

Data for a relaxed structure of CaGeSeBr2.

Calculated values
Energy relative to the lowest polymorph listed for this composition (eV/f.u.): 0.00
Magnetic moment (μB per atom): 0.00
Energy relative to the elements, uncorrected (eV per atom): -0.7353

Lattice parameters (Å, degrees): 5.2500 5.2500 5.4467 90.00 90.00 90.00
Fractional positions:
1 Ge 0.0000 0.0000 0.0000
2 Ca 0.5000 0.5000 0.5000
3 Se 0.0000 0.0000 0.5000
4 Br 0.0000 0.5000 0.0000
5 Br 0.5000 0.0000 0.0000

=====

## CaGeSe2Br (PBE)

Data for a relaxed structure of CaGeSe2Br.

Calculated values
Energy relative to the lowest polymorph listed for this composition (eV/f.u.): 2.52
Magnetic moment (μB per atom): 0.00
Energy relative to the elements, uncorrected (eV per atom): -0.1563

Lattice parameters (Å, degrees): 5.4789 5.4789 5.3847 90.00 90.00 90.00
Fractional positions:
1 Ge 0.5000 0.5000 0.5000
2 Ca 0.0000 0.0000 0.0000
3 Se 0.0000 0.5000 0.0000
4 Se 0.5000 0.0000 0.0000
5 Br 0.0000 0.0000 0.5000

=====

## CaGeSe2Br (PBE)

Data for a relaxed structure of CaGeSe2Br.

Calculated values
Energy relative to the lowest polymorph listed for this composition (eV/f.u.): 0.00
Magnetic moment (μB per atom): 0.00
Energy relative to the elements, uncorrected (eV per atom): -0.6600

Lattice parameters (Å, degrees): 5.1059 5.1059 5.2448 90.00 90.00 90.00
Fractional positions:
1 Ge 0.0000 0.0000 0.0000
2 Ca 0.5000 0.5000 0.5000
3 Se 0.0000 0.5000 0.0000
4 Se 0.5000 0.0000 0.0000
5 Br 0.0000 0.0000 0.5000

=====

## CaGeSeBr2 (PBE)

Data for a relaxed structure of CaGeSeBr2.

Calculated values
Energy relative to the lowest polymorph listed for this composition (eV/f.u.): 1.15
Magnetic moment (μB per atom): 0.00
Energy relative to the elements, uncorrected (eV per atom): -0.5051

Lattice parameters (Å, degrees): 5.3714 5.3714 5.8100 90.00 90.00 90.00
Fractional positions:
1 Ge 0.5000 0.5000 0.5000
2 Ca 0.0000 0.0000 0.0000
3 Se 0.0000 0.0000 0.5000
4 Br 0.0000 0.5000 0.0000
5 Br 0.5000 0.0000 0.0000